RbZrZnAg2 PBE-GGA relaxed; calculated density = 4.55 Mg/m³; volume = 33.40 Å³/atom; E above lowest polymorph = 0.0 kJ per mole of atoms; SG = P4/mmm (123); DFT formation energy = 616 meV per atom; crystal system = tetragonal; density of states at the Fermi level = 1.0338 states/eV/atom
1.0
5.5198 0.0000 0.0000
0.0000 5.5198 0.0000
0.0000 0.0000 5.4819
Rb Zr Zn Ag
1 1 1 2
Direct
0.0000 0.0000 0.0000
0.5000 0.5000 0.5000
0.5000 0.5000 0.0000
0.0000 0.5000 0.5000
0.5000 0.0000 0.5000

RbZr2Ag2 PBE-GGA relaxed; calculated density = 5.60 Mg/m³; volume = 28.69 Å³/atom; E above lowest polymorph = 34.5 kJ per mole of atoms; SG = I4/mmm (139); DFT formation energy = 708 meV per atom; crystal system = tetragonal; density of states at the Fermi level = 0.9088 states/eV/atom
1.0
-2.6450 2.6450 5.1267
2.6450 -2.6450 5.1267
2.6450 2.6450 -5.1267
Rb Zr Ag
1 2 2
Direct
0.0000 0.0000 0.0000
0.3567 0.3567 0.0000
0.6433 0.6433 0.0000
0.2500 0.7500 0.5000
0.7500 0.2500 0.5000

RbZr2Ag PBE-GGA relaxed; calculated density = 5.10 Mg/m³; volume = 30.59 Å³/atom; E above lowest polymorph = 0.2 kJ per mole of atoms; SG = I-42d (122); DFT formation energy = 1020 meV per atom; crystal system = tetragonal; density of states at the Fermi level = 1.4115 states/eV/atom
1.0
-2.3075 2.3075 11.4902
2.3075 -2.3075 11.4902
2.3075 2.3075 -11.4902
Rb Zr Ag
2 4 2
Direct
0.0000 0.0000 0.0000
0.7500 0.2500 0.5000
0.2426 0.6250 0.1176
0.3750 0.4926 0.6176
0.5074 0.1250 0.8824
0.8750 0.7574 0.3824
0.2500 0.7500 0.5000
0.5000 0.5000 0.0000

Rb3ZrAg PBE-GGA relaxed; calculated density = 2.51 Mg/m³; volume = 60.16 Å³/atom; E above lowest polymorph = 0.0 kJ per mole of atoms; SG = Pm-3m (221); DFT formation energy = 967 meV per atom; crystal system = cubic; density of states at the Fermi level = 1.4484 states/eV/atom
1.0
6.7005 0.0000 0.0000
0.0000 6.7005 0.0000
0.0000 0.0000 6.7005
Rb Zr Ag
3 1 1
Direct
0.0000 0.0000 0.5000
0.0000 0.5000 0.0000
0.5000 0.0000 0.0000
0.5000 0.5000 0.5000
0.0000 0.0000 0.0000

RbZr3Ag PBE-GGA relaxed; calculated density = 5.03 Mg/m³; volume = 30.86 Å³/atom; E above lowest polymorph = 0.0 kJ per mole of atoms; SG = Pm-3m (221); DFT formation energy = 1144 meV per atom; crystal system = cubic; density of states at the Fermi level = 1.0427 states/eV/atom
1.0
5.3635 0.0000 0.0000
0.0000 5.3635 0.0000
0.0000 0.0000 5.3635
Rb Zr Ag
1 3 1
Direct
0.0000 0.0000 0.0000
0.0000 0.5000 0.5000
0.5000 0.0000 0.5000
0.5000 0.5000 0.0000
0.5000 0.5000 0.5000

RbZrAg3 PBE-GGA relaxed; calculated density = 4.92 Mg/m³; volume = 33.74 Å³/atom; E above lowest polymorph = 0.0 kJ per mole of atoms; SG = Pm-3m (221); DFT formation energy = 665 meV per atom; crystal system = cubic; density of states at the Fermi level = 0.8380 states/eV/atom
1.0
5.5255 0.0000 0.0000
0.0000 5.5255 0.0000
0.0000 0.0000 5.5255
Rb Zr Ag
1 1 3
Direct
0.0000 0.0000 0.0000
0.5000 0.5000 0.5000
0.0000 0.5000 0.5000
0.5000 0.0000 0.5000
0.5000 0.5000 0.0000

Please write out number 5 again, unchanged.
RbZr3Ag PBE-GGA relaxed; calculated density = 5.03 Mg/m³; volume = 30.86 Å³/atom; E above lowest polymorph = 0.0 kJ per mole of atoms; SG = Pm-3m (221); DFT formation energy = 1144 meV per atom; crystal system = cubic; density of states at the Fermi level = 1.0427 states/eV/atom
1.0
5.3635 0.0000 0.0000
0.0000 5.3635 0.0000
0.0000 0.0000 5.3635
Rb Zr Ag
1 3 1
Direct
0.0000 0.0000 0.0000
0.0000 0.5000 0.5000
0.5000 0.0000 0.5000
0.5000 0.5000 0.0000
0.5000 0.5000 0.5000